# CeNpOsRu (GGA-PBE, relaxed)
# E_tot (eV/atom): -9.868
# E_form (kJ per mole of atoms): -2.25
# Total magnetization (μB per atom): 0.8035
data_CeNpOsRu
_chemical_formula_sum 'Ce1 Np1 Os1 Ru1'
_cell_length_a 4.828
_cell_length_b 4.828
_cell_length_c 4.828
_cell_angle_alpha 60.00
_cell_angle_beta 60.00
_cell_angle_gamma 60.00
_symmetry_space_group_name_H-M 'P 1'
_symmetry_Int_Tables_number 1
_symmetry_space_group_name_Hall 'P 1'
loop_
_atom_site_label
_atom_site_type_symbol
_atom_site_fract_x
_atom_site_fract_y
_atom_site_fract_z
Np1 Np 0.000 0.000 0.000
Ru1 Ru 0.250 0.250 0.250
Os1 Os 0.750 0.750 0.750
Ce1 Ce 0.500 0.500 0.500